No. 1
KCuW2 | GGA-PBE | relaxed

The structure in extended XYZ format:
```
4
Lattice="2.7152 0.0000 0.0000 0.0000 2.7152 0.0000 0.0000 0.0000 10.1036" Properties=species:S:1:pos:R:3 pbc="T T T"
K 0.0000 0.0000 0.0000
Cu 1.3576 1.3576 7.2908
W 0.0000 0.0000 5.4126
W 1.3576 1.3576 3.1341
```

Results
SG: P4mm (99)
ΔH_f (0 K) (eV/atom): 0.875
Energy relative to the lowest polymorph listed for this composition (meV per atom): 126

No. 2
Pm3P2N6 | GGA-PBE | relaxed

The structure in extended XYZ format:
```
11
Lattice="3.1410 -2.7850 0.0000 3.1410 2.7850 0.0000 -1.3139 0.0000 9.7427" Properties=species:S:1:pos:R:3 pbc="T T T"
Pm 0.0000 0.0000 0.0000
Pm 1.2571 0.0000 3.4847
Pm 3.7110 0.0000 6.2580
P 0.9586 0.0000 7.5611
P 4.0094 0.0000 2.1817
N 0.4361 1.3624 8.1858
N 1.2903 0.0000 5.9555
N 0.4361 -1.3624 8.1858
N 4.5319 1.3624 1.5569
N 3.6778 0.0000 3.7873
N 4.5319 -1.3624 1.5569
```

Results
SG: C2/m (12)
Energy relative to the elements, uncorrected (eV/atom): -0.926

No. 3
TbPm4Er2Th | GGA-PBE | relaxed

The structure in extended XYZ format:
```
8
Lattice="5.0753 0.0000 0.0000 0.0000 5.0820 0.0000 0.0000 0.0000 10.1982" Properties=species:S:1:pos:R:3 pbc="T T T"
Tb 0.0000 0.0000 0.0000
Pm 0.0000 2.5410 2.5643
Pm 0.0000 2.5410 7.6339
Pm 2.5377 0.0000 2.5759
Pm 2.5377 0.0000 7.6223
Er 0.0000 0.0000 5.0991
Er 2.5377 2.5410 0.0000
Th 2.5377 2.5410 5.0991
```

Results
SG: Pmmm (47)
ΔH_f (0 K) (eV/atom): 0.026

No. 4
Tb3Mg7Tl2 | GGA-PBE | relaxed

The structure in extended XYZ format:
```
12
Lattice="3.0360 1.7528 9.6682 -3.0360 1.7528 9.6682 0.0000 -3.5057 9.6682" Properties=species:S:1:pos:R:3 pbc="T T T"
Tb 0.0000 0.0000 0.0000
Tb 0.0000 0.0000 4.1926
Tb 0.0000 0.0000 24.8121
Mg -1.5443 -0.8916 12.1101
Mg 0.0000 -1.7832 16.8946
Mg -1.5443 0.8916 16.8946
Mg 0.0000 0.0000 14.5024
Mg 1.5443 -0.8916 12.1101
Mg 0.0000 1.7832 12.1101
Mg 1.5443 0.8916 16.8946
Tl 0.0000 0.0000 9.7019
Tl 0.0000 0.0000 19.3029
```

Results
SG: R-3m (166)
ΔH_f (0 K) (eV/atom): -0.091

Magnetic moment values, unit μB/atom, following the record order: 0.00, 0.00, 0.00, 0.00.
Electronic total energy values, unit eV per atom, following the record order: -6.900, -7.747, -4.996, -2.573.